(1)
A relaxed structure of SmAl6Pd2, computed with PBE-GGA.

a = 11.791 Å, b = 11.791 Å, c = 11.791 Å
α = 90.00°, β = 90.00°, γ = 90.00°
Space group Fd-3m (No. 227, origin choice 2)
Symmetry-distinct sites (fractional):
1 Sm 0.125 0.125 0.125 x8
2 Al 0.112 0.375 0.875 x48
3 Pd 0.000 0.000 0.500 x16

- mass density (Mg/m³) = 4.3
- energy of formation from the pure elements (eV per atom) = -0.039
- magnetic moment (μB/f.u.) = 0.0

---

(2)
A relaxed structure of Sm4Al3Pd, computed with PBE-GGA.

a = 3.812 Å, b = 4.532 Å, c = 11.793 Å
α = 90.00°, β = 90.00°, γ = 90.00°
Space group Pmm2 (No. 25)
Symmetry-distinct sites (fractional):
1 Sm 0.000 0.000 0.000 x1
2 Sm 0.000 0.500 0.284 x1
3 Sm 0.500 0.000 0.482 x1
4 Sm 0.500 0.500 0.796 x1
5 Al 0.000 0.000 0.704 x1
6 Al 0.000 0.500 0.573 x1
7 Al 0.500 0.500 0.073 x1
8 Pd 0.500 0.000 0.207 x1

- mass density (Mg/m³) = 6.4
- E above lowest polymorph (eV/atom) = 0.0046
- energy of formation from the pure elements (eV per atom) = -0.466
- magnetic moment (μB/f.u.) = 0.3

---

(3)
A relaxed structure of Sm3AlPd12, computed with PBE-GGA.

a = 4.145 Å, b = 4.145 Å, c = 16.168 Å
α = 90.00°, β = 90.00°, γ = 90.00°
Space group P4/mmm (No. 123)
Symmetry-distinct sites (fractional):
1 Sm 0.000 0.000 0.000 x1
2 Sm 0.000 0.000 0.260 x2
3 Al 0.000 0.000 0.500 x1
4 Pd 0.000 0.500 0.130 x4
5 Pd 0.000 0.500 0.391 x4
6 Pd 0.500 0.500 0.000 x1
7 Pd 0.500 0.500 0.260 x2
8 Pd 0.500 0.500 0.500 x1

- mass density (Mg/m³) = 10.5
- energy of formation from the pure elements (eV per atom) = -0.753
- magnetic moment (μB/f.u.) = 0.0

---

(4)
A relaxed structure of Sm3Al9Pd2, computed with PBE-GGA.

a = 4.347 Å, b = 9.922 Å, c = 12.608 Å
α = 90.00°, β = 90.00°, γ = 90.00°
Space group Immm (No. 71)
Symmetry-distinct sites (fractional):
1 Sm 0.000 0.000 0.000 x2
2 Sm 0.000 0.000 0.305 x4
3 Al 0.000 0.281 0.129 x8
4 Al 0.000 0.366 0.342 x8
5 Al 0.000 0.500 0.000 x2
6 Pd 0.000 0.203 0.500 x4

- mass density (Mg/m³) = 5.5
- energy of formation from the pure elements (eV per atom) = -0.624
- magnetic moment (μB/f.u.) = 0.0

---

(5)
A relaxed structure of Sm4AlPd3, computed with PBE-GGA.

a = 3.883 Å, b = 4.529 Å, c = 11.130 Å
α = 90.00°, β = 90.00°, γ = 90.00°
Space group Pmm2 (No. 25)
Symmetry-distinct sites (fractional):
1 Sm 0.000 0.000 0.000 x1
2 Sm 0.000 0.500 0.268 x1
3 Sm 0.500 0.000 0.485 x1
4 Sm 0.500 0.500 0.779 x1
5 Al 0.000 0.000 0.704 x1
6 Pd 0.000 0.500 0.558 x1
7 Pd 0.500 0.000 0.218 x1
8 Pd 0.500 0.500 0.053 x1

- mass density (Mg/m³) = 8.0
- energy of formation from the pure elements (eV per atom) = -0.710
- magnetic moment (μB/f.u.) = 0.0

---

(6)
A relaxed structure of SmAlPd2, computed with PBE-GGA.

a = 4.693 Å, b = 4.693 Å, c = 3.442 Å
α = 90.00°, β = 90.00°, γ = 90.00°
Space group P4/mmm (No. 123)
Symmetry-distinct sites (fractional):
1 Sm 0.000 0.000 0.000 x1
2 Al 0.500 0.500 0.000 x1
3 Pd 0.000 0.500 0.500 x2

- mass density (Mg/m³) = 8.5
- energy of formation from the pure elements (eV per atom) = -0.665
- magnetic moment (μB/f.u.) = 0.0